Entry 1:
Crystalline MgReS at its relaxed geometry. Source: the Open Quantum Materials Database, functional PBE.

Geometry as POSCAR:
```
MgReS
1.0
1.9335 1.1163 8.7466
-1.9335 1.1163 8.7466
0.0000 -2.2327 8.7466
Re S Mg
2 2 2
Cartesian
0.0000 0.0000 18.3895
0.0000 0.0000 7.8502
0.0000 0.0000 10.2128
0.0000 0.0000 16.0270
0.0000 0.0000 22.9954
0.0000 0.0000 3.2443
```

* electronic total energy: -5.79 eV per atom
* ρ: 7.112 g/cm³
* crystal system: trigonal
* symmetry: R-3m


Entry 2:
Crystalline MgRe2Sb at its relaxed geometry. Source: the Open Quantum Materials Database, functional PBE.

Geometry as POSCAR:
```
MgRe2Sb
1.0
0.0000 3.2350 3.2350
3.2350 0.0000 3.2350
3.2350 3.2350 0.0000
Sb Re Mg
1 2 1
Cartesian
3.2350 3.2350 3.2350
4.8524 4.8524 4.8524
0.0000 0.0000 0.0000
1.6175 1.6175 1.6175
```

* electronic total energy: -7.05 eV per atom
* ρ: 12.716 g/cm³
* crystal system: cubic
* symmetry: F-43m